[1]
VASP calculation (PBE) on a relaxed structure of ZrTiPt2.

Unit cell a=3.1187 b=3.1187 c=7.1166 alpha=90.00 beta=90.00 gamma=90.00
Atoms (fractional coordinates):
Zr 0.0000 0.0000 0.0000
Ti 0.0000 0.0000 0.5000
Pt 0.5000 0.5000 0.2858
Pt 0.5000 0.5000 0.7142

Results
Energy of formation = -3.70 eV per formula unit
Space group = No. 123



[2]
VASP calculation (PBE) on a relaxed structure of ZrTiPt3.

Unit cell a=7.3792 b=2.8146 c=8.8933 alpha=90.00 beta=107.38 gamma=90.00
Atoms (fractional coordinates):
Zr 0.2210 0.0000 0.3052
Zr 0.7790 0.0000 0.6948
Ti 0.2175 0.5000 0.8063
Ti 0.7825 0.5000 0.1937
Pt 0.0000 0.5000 0.0000
Pt 0.0000 0.5000 0.5000
Pt 0.3854 0.5000 0.5964
Pt 0.3920 0.5000 0.1000
Pt 0.6080 0.5000 0.9000
Pt 0.6146 0.5000 0.4036

Results
Energy of formation = -3.10 eV per formula unit
Space group = No. 10
Offset from the most stable computed form = 135 meV/atom



[3]
VASP calculation (PBE) on a relaxed structure of ZrTi3Pt.

Unit cell a=4.6678 b=4.6678 c=4.6678 alpha=90.00 beta=90.00 gamma=90.00
Atoms (fractional coordinates):
Zr 0.0000 0.0000 0.0000
Ti 0.0000 0.0000 0.5000
Ti 0.0000 0.5000 0.0000
Ti 0.5000 0.0000 0.0000
Pt 0.5000 0.5000 0.5000

Results
Energy of formation = 5.53 eV per formula unit
Space group = No. 221
Offset from the most stable computed form = 806 meV/atom



[4]
VASP calculation (PBE) on a relaxed structure of Zr2TiPt2.

Unit cell a=7.4743 b=7.4743 c=3.4679 alpha=90.00 beta=90.00 gamma=90.00
Atoms (fractional coordinates):
Zr 0.1704 0.3296 0.0000
Zr 0.3296 0.8296 0.0000
Zr 0.6704 0.1704 0.0000
Zr 0.8296 0.6704 0.0000
Ti 0.0000 0.0000 0.5000
Ti 0.5000 0.5000 0.5000
Pt 0.1326 0.6326 0.5000
Pt 0.3674 0.1326 0.5000
Pt 0.6326 0.8674 0.5000
Pt 0.8674 0.3674 0.5000

Results
Energy of formation = -3.86 eV per formula unit
Space group = No. 127
Offset from the most stable computed form = 0 meV/atom



[5]
VASP calculation (PBE) on a relaxed structure of ZrTiPt3.

Unit cell a=4.6694 b=4.6694 c=4.6694 alpha=90.00 beta=90.00 gamma=90.00
Atoms (fractional coordinates):
Zr 0.0000 0.0000 0.0000
Ti 0.5000 0.5000 0.5000
Pt 0.0000 0.5000 0.5000
Pt 0.5000 0.0000 0.5000
Pt 0.5000 0.5000 0.0000

Results
Energy of formation = 0.28 eV per formula unit
Space group = No. 221
Offset from the most stable computed form = 811 meV/atom



[6]
VASP calculation (PBE) on a relaxed structure of Zr3TiPt.

Unit cell a=4.8308 b=4.8308 c=4.8308 alpha=90.00 beta=90.00 gamma=90.00
Atoms (fractional coordinates):
Zr 0.0000 0.0000 0.5000
Zr 0.0000 0.5000 0.0000
Zr 0.5000 0.0000 0.0000
Ti 0.0000 0.0000 0.0000
Pt 0.5000 0.5000 0.5000

Results
Energy of formation = 3.42 eV per formula unit
Space group = No. 221
Offset from the most stable computed form = 260 meV/atom



[7]
VASP calculation (PBE) on a relaxed structure of ZrTiPt2.

Unit cell a=4.1201 b=4.1201 c=3.9990 alpha=90.00 beta=90.00 gamma=90.00
Atoms (fractional coordinates):
Zr 0.0000 0.0000 0.0000
Ti 0.5000 0.5000 0.0000
Pt 0.0000 0.5000 0.5000
Pt 0.5000 0.0000 0.5000

Results
Energy of formation = -3.53 eV per formula unit
Space group = No. 123



[8]
VASP calculation (PBE) on a relaxed structure of ZrTi2Pt2.

Unit cell a=7.5431 b=7.5431 c=3.0898 alpha=90.00 beta=90.00 gamma=90.00
Atoms (fractional coordinates):
Zr 0.0000 0.0000 0.0000
Zr 0.5000 0.5000 0.0000
Ti 0.1652 0.3348 0.5000
Ti 0.3348 0.8348 0.5000
Ti 0.6652 0.1652 0.5000
Ti 0.8348 0.6652 0.5000
Pt 0.1315 0.6315 0.0000
Pt 0.3685 0.1315 0.0000
Pt 0.6315 0.8685 0.0000
Pt 0.8685 0.3685 0.0000

Results
Energy of formation = -3.79 eV per formula unit
Space group = No. 127
Offset from the most stable computed form = 0 meV/atom